Record 1
The following is a DFT calculation (PBE-GGA) of a geometry-optimized TaTlCo2 structure.

a = 4.432 Å, b = 4.432 Å, c = 5.261 Å
α = 79.15°, β = 79.15°, γ = 39.80°
Last column: magnetic moment on the atom in μB.
Element x y z (fractional)
Co (0.011, 0.011, 0.942)  0.83
Co (0.489, 0.489, 0.558)  0.83
Ta (0.750, 0.750, 0.750)  -0.12
Tl (0.250, 0.250, 0.250)  0.01

## Properties
energy relative to the elements = 0.35 eV/atom
volume = 64.83 Å³/cell
space-group type = C2/m (12)
density of states at the Fermi level = 4.068 states/eV/f.u.

=====

Record 2
The following is a DFT calculation (PBE-GGA) of a geometry-optimized K7Hg structure.

a = 7.089 Å, b = 7.089 Å, c = 12.123 Å
α = 73.00°, β = 73.00°, γ = 60.00°
Element x y z (fractional)
K (0.896, 0.896, 0.311)
K (0.764, 0.764, 0.708)
K (0.638, 0.638, 0.085)
K (0.500, 0.500, 0.500)
K (0.362, 0.362, 0.915)
K (0.236, 0.236, 0.292)
K (0.104, 0.104, 0.689)
Hg (0.000, 0.000, 0.000)

## Properties
energy relative to the elements = -0.03 eV/atom
volume = 496.70 Å³/cell
space-group type = R-3m (166)
density of states at the Fermi level = 6.253 states/eV/f.u.